DFT (PBE-GGA) results for a geometry-optimized CaDyZnCo structure.

Geometry as CIF:
```
data_CaDyZnCo
_space_group_name_H-M_alt 'F -4 3 m'
_space_group_IT_number 216
_space_group_name_Hall 'F -4 2 3'
_cell_length_a 6.954
_cell_length_b 6.954
_cell_length_c 6.954
_cell_angle_alpha 90.00
_cell_angle_beta 90.00
_cell_angle_gamma 90.00
loop_
_atom_site_label
_atom_site_type_symbol
_atom_site_fract_x
_atom_site_fract_y
_atom_site_fract_z
Ca1 Ca 0.000 0.000 0.000
Dy1 Dy 0.000 0.000 0.500
Zn1 Zn 0.250 0.250 0.750
Co1 Co 0.250 0.250 0.250
```

Values from the calculation:
**Calculated density**: 6.46 Mg/m³
**Formation energy from the elements**: -0.02 eV/atom

***

DFT (PBE-GGA) results for a geometry-optimized LiCaErCo structure.

Geometry as CIF:
```
data_LiCaErCo
_space_group_name_H-M_alt 'F -4 3 m'
_space_group_IT_number 216
_space_group_name_Hall 'F -4 2 3'
_cell_length_a 6.932
_cell_length_b 6.932
_cell_length_c 6.932
_cell_angle_alpha 90.00
_cell_angle_beta 90.00
_cell_angle_gamma 90.00
loop_
_atom_site_label
_atom_site_type_symbol
_atom_site_fract_x
_atom_site_fract_y
_atom_site_fract_z
Li1 Li 0.000 0.000 0.000
Ca1 Ca 0.250 0.250 0.250
Er1 Er 0.250 0.250 0.750
Co1 Co 0.000 0.000 0.500
```

Values from the calculation:
**Calculated density**: 5.45 Mg/m³
**Formation energy from the elements**: 0.11 eV/atom

***

DFT (PBE-GGA) results for a geometry-optimized CaErZnCo structure.

Geometry as CIF:
```
data_CaErZnCo
_space_group_name_H-M_alt 'F -4 3 m'
_space_group_IT_number 216
_space_group_name_Hall 'F -4 2 3'
_cell_length_a 6.918
_cell_length_b 6.918
_cell_length_c 6.918
_cell_angle_alpha 90.00
_cell_angle_beta 90.00
_cell_angle_gamma 90.00
loop_
_atom_site_label
_atom_site_type_symbol
_atom_site_fract_x
_atom_site_fract_y
_atom_site_fract_z
Ca1 Ca 0.000 0.000 0.000
Er1 Er 0.000 0.000 0.500
Zn1 Zn 0.250 0.250 0.750
Co1 Co 0.250 0.250 0.250
```

Values from the calculation:
**Calculated density**: 6.65 Mg/m³
**Formation energy from the elements**: -0.03 eV/atom

***

DFT (PBE-GGA) results for a geometry-optimized CaEuCo4 structure.

Geometry as CIF:
```
data_CaEuCo4
_space_group_name_H-M_alt 'F -4 3 m'
_space_group_IT_number 216
_space_group_name_Hall 'F -4 2 3'
_cell_length_a 7.276
_cell_length_b 7.276
_cell_length_c 7.276
_cell_angle_alpha 90.00
_cell_angle_beta 90.00
_cell_angle_gamma 90.00
loop_
_atom_site_label
_atom_site_type_symbol
_atom_site_fract_x
_atom_site_fract_y
_atom_site_fract_z
Ca1 Ca 0.000 0.000 0.000
Eu1 Eu 0.250 0.250 0.750
Co1 Co 0.125 0.125 0.375
```

Values from the calculation:
**Calculated density**: 7.38 Mg/m³
**Formation energy from the elements**: 0.08 eV/atom

***

DFT (PBE-GGA) results for a geometry-optimized CaEu2Co structure.

Geometry as CIF:
```
data_CaEu2Co
_space_group_name_H-M_alt 'P 4/m m m'
_space_group_IT_number 123
_space_group_name_Hall '-P 4 2'
_cell_length_a 3.601
_cell_length_b 3.601
_cell_length_c 9.524
_cell_angle_alpha 90.00
_cell_angle_beta 90.00
_cell_angle_gamma 90.00
loop_
_atom_site_label
_atom_site_type_symbol
_atom_site_fract_x
_atom_site_fract_y
_atom_site_fract_z
Ca1 Ca 0.000 0.000 0.000
Eu1 Eu 0.500 0.500 0.325
Co1 Co 0.000 0.000 0.500
```

Values from the calculation:
**Calculated density**: 5.42 Mg/m³
**Formation energy from the elements**: 0.14 eV/atom

***

DFT (PBE-GGA) results for a geometry-optimized CaEu3Co structure.

Geometry as CIF:
```
data_CaEu3Co
_space_group_name_H-M_alt 'P m -3 m'
_space_group_IT_number 221
_space_group_name_Hall '-P 4 2 3'
_cell_length_a 5.594
_cell_length_b 5.594
_cell_length_c 5.594
_cell_angle_alpha 90.00
_cell_angle_beta 90.00
_cell_angle_gamma 90.00
loop_
_atom_site_label
_atom_site_type_symbol
_atom_site_fract_x
_atom_site_fract_y
_atom_site_fract_z
Ca1 Ca 0.000 0.000 0.000
Eu1 Eu 0.000 0.500 0.500
Co1 Co 0.500 0.500 0.500
```

Values from the calculation:
**Calculated density**: 5.26 Mg/m³
**Formation energy from the elements**: 0.06 eV/atom

***

Number 1: Fermi-level density of states 1.0073 states/eV per atom. Number 2: Fermi-level density of states 0.6574 states/eV per atom. Number 3: Fermi-level density of states 0.9763 states/eV per atom. Number 4: Fermi-level density of states 1.3387 states/eV per atom. Number 5: Fermi-level density of states 2.3875 states/eV per atom. Number 6: Fermi-level density of states 3.2612 states/eV per atom.